1.
PBE-GGA SmHo2Er6Sc3, relaxed; volume = 29.28 Å³ per atom; calculated density = 7.651 Mg/m³; space-group type = C2/m (12); E_form = 0.0437 eV per atom
1.0
6.006 0.001 0.022
-3.001 5.203 0.022
-1.041 -1.803 11.225
Ho Er Sc Sm
2 6 3 1
Cartesian
3.003 1.736 0.022 Ho
0.003 3.468 0.022 Ho
-0.028 -0.048 8.325 Er
-0.030 3.418 8.348 Er
-1.011 1.719 2.922 Er
1.994 -0.017 2.922 Er
2.975 1.682 8.348 Er
1.992 3.450 2.945 Er
-2.018 3.434 5.635 Sc
3.983 -0.032 5.635 Sc
0.982 1.701 5.635 Sc
0.000 0.000 0.000 Sm



2.
PBE-GGA LuMgZrOs, relaxed; volume = 19.91 Å³ per atom; calculated density = 10.024 Mg/m³; space-group type = F-43m (216); E_form = -0.2212 eV per atom
1.0
-2.988 -3.789 0.188
1.625 -4.413 -1.097
0.519 -3.315 3.473
Lu Mg Os Zr
1 1 1 1
Cartesian
-0.633 -8.638 1.923 Lu
0.000 0.000 0.000 Mg
-0.422 -5.758 1.282 Os
-0.211 -2.879 0.641 Zr



3.
PBE-GGA BeFe2Cl, relaxed; volume = 13.37 Å³ per atom; formation energy without anion corrections = 0.128 eV per atom; excess energy over the best structure of this formula in the dataset = 44 meV per atom; calculated density = 4.847 Mg/m³; space-group type = Pmmm (47)
1.0
-0.527 2.492 1.104
-0.930 -1.332 2.562
5.922 0.240 2.283
Cl Fe Be
1 2 1
Cartesian
3.480 0.428 4.186 Cl
1.883 -0.894 2.916 Fe
-0.318 -0.984 2.069 Fe
0.985 0.973 1.763 Be



4.
PBE-GGA NdYMnIn, relaxed; volume = 26.23 Å³ per atom; calculated density = 6.377 Mg/m³; space-group type = F-43m (216); E_form = -0.0890 eV per atom
1.0
-3.146 3.573 -2.317
-5.248 -0.695 0.005
-3.082 3.127 2.958
In Mn Nd Y
1 1 1 1
Cartesian
-5.738 3.002 0.323 In
0.000 0.000 0.000 Mn
-8.607 4.503 0.485 Nd
-2.869 1.501 0.162 Y



5.
PBE-GGA SrScCu2N, relaxed; volume = 21.28 Å³ per atom; formation energy without anion corrections = 0.164 eV per atom; calculated density = 4.271 Mg/m³; space-group type = P4/mmm (123)
1.0
5.067 0.000 0.000
0.000 4.144 0.000
0.000 0.000 5.067
Sc N Cu Sr
1 1 2 1
Cartesian
0.000 0.000 0.000 Sc
0.000 2.072 0.000 N
0.000 0.000 2.534 Cu
2.534 0.000 0.000 Cu
2.534 2.072 2.534 Sr



6.
PBE-GGA CaMoRh2, relaxed; volume = 16.62 Å³ per atom; excess energy over the best structure of this formula in the dataset = 511 meV per atom; calculated density = 8.538 Mg/m³; space-group type = F-43m (216); E_form = 0.3692 eV per atom
1.0
4.547 0.000 0.000
2.274 3.938 0.000
2.274 1.313 3.713
Mo Ca Rh
1 1 2
Cartesian
6.821 3.938 2.785 Mo
4.547 2.625 1.856 Ca
2.274 1.313 0.928 Rh
0.000 0.000 0.000 Rh



7.
PBE-GGA TiAgC3, relaxed; volume = 13.21 Å³ per atom; excess energy over the best structure of this formula in the dataset = 848 meV per atom; calculated density = 4.822 Mg/m³; space-group type = Pm-3m (221); E_form = 2.8343 eV per atom
1.0
4.042 0.000 0.000
0.000 4.042 0.000
0.000 0.000 4.042
C Ag Ti
3 1 1
Cartesian
0.000 2.021 0.000 C
0.000 0.000 2.021 C
2.021 0.000 0.000 C
0.000 0.000 0.000 Ag
2.021 2.021 2.021 Ti



8.
PBE-GGA BiHRu3, relaxed; volume = 25.75 Å³ per atom; excess energy over the best structure of this formula in the dataset = 2215 meV per atom; calculated density = 6.618 Mg/m³; space-group type = Pm-3m (221)
1.0
-0.150 -1.844 -4.698
3.471 -3.450 1.244
-3.665 -3.193 1.370
H Bi Ru
1 1 3
Cartesian
-0.172 -4.244 -1.042 H
0.000 0.000 0.000 Bi
-1.832 -1.596 0.685 Ru
-0.075 -0.922 -2.349 Ru
1.736 -1.725 0.622 Ru



9.
PBE-GGA YHoScPt, relaxed; volume = 23.33 Å³ per atom; calculated density = 8.789 Mg/m³; space-group type = F-43m (216); E_form = -0.3815 eV per atom
1.0
5.091 0.000 0.000
2.546 4.409 0.000
2.546 1.470 4.157
Sc Ho Y Pt
1 1 1 1
Cartesian
7.637 4.409 3.118 Sc
0.000 0.000 0.000 Ho
5.091 2.939 2.078 Y
2.546 1.470 1.039 Pt



10.
PBE-GGA Ac3La2CeN6, relaxed; volume = 19.28 Å³ per atom; formation energy without anion corrections = -1.217 eV per atom; calculated density = 8.492 Mg/m³; space-group type = C2/m (12)
1.0
6.559 0.001 0.002
-3.277 5.682 0.002
-1.093 -1.893 6.205
Ac N La Ce
3 6 2 1
Cartesian
1.095 1.895 3.104 Ac
-2.194 3.794 3.104 Ac
4.383 -0.004 3.104 Ac
3.214 2.014 4.800 N
2.051 0.001 1.409 N
-0.055 -0.095 4.730 N
2.244 3.886 1.479 N
0.138 3.790 4.800 N
-1.024 1.777 1.409 N
-0.004 3.792 0.002 La
3.287 1.891 0.002 La
0.000 0.000 0.000 Ce



11.
PBE-GGA Tb4YP5, relaxed; volume = 23.07 Å³ per atom; calculated density = 6.330 Mg/m³; space-group type = I4/m (87); E_form = -1.6171 eV per atom
1.0
-3.972 -3.933 -1.077
1.591 -4.284 -5.268
0.843 -5.943 3.549
P Tb Y
5 4 1
Cartesian
0.584 -8.178 -2.409 P
-2.131 -5.989 -0.389 P
0.722 -4.156 -2.562 P
-1.990 -1.971 -0.540 P
-2.269 -10.012 -0.236 P
-0.283 -8.044 0.301 Tb
-1.264 -6.123 -3.099 Tb
-0.143 -4.024 0.149 Tb
-1.403 -10.144 -2.946 Tb
-0.004 -0.004 -0.001 Y



12.
PBE-GGA RbSnGe3, relaxed; volume = 35.45 Å³ per atom; excess energy over the best structure of this formula in the dataset = 1038 meV per atom; calculated density = 3.954 Mg/m³; space-group type = Pm-3m (221); E_form = 1.5752 eV per atom
1.0
-3.301 3.718 2.615
1.731 -1.960 4.971
4.203 3.727 0.006
Sn Ge Rb
1 3 1
Cartesian
1.317 2.742 3.796 Sn
2.101 1.863 0.003 Ge
0.866 -0.980 2.486 Ge
-1.650 1.859 1.308 Ge
0.000 0.000 0.000 Rb



13.
PBE-GGA Pm2AlO3, relaxed; volume = 13.86 Å³ per atom; formation energy without anion corrections = -2.564 eV per atom; calculated density = 7.286 Mg/m³; space-group type = Immm (71)
1.0
-2.783 2.245 -0.060
-1.884 -2.275 2.222
4.643 3.013 3.947
O Al Pm
3 1 2
Cartesian
-0.752 2.038 4.524 O
-0.942 -1.138 1.111 O
0.728 0.945 1.584 O
0.000 0.000 0.000 Al
-1.644 0.879 2.581 Pm
1.620 2.103 3.527 Pm



14.
PBE-GGA SrBPIr3, relaxed; volume = 16.98 Å³ per atom; calculated density = 11.506 Mg/m³; space-group type = Cmcm (63); E_form = -0.4152 eV per atom
1.0
5.792 0.000 0.000
0.000 5.801 0.000
0.000 -2.901 6.065
P Ir Sr B
2 6 2 2
Cartesian
4.344 2.901 1.345 P
1.448 0.000 4.720 P
2.896 4.329 0.000 Ir
0.000 1.472 0.000 Ir
2.896 1.472 0.000 Ir
0.000 4.329 0.000 Ir
1.448 0.000 2.486 Ir
4.344 2.901 3.579 Ir
4.344 0.000 3.077 Sr
1.448 2.901 2.987 Sr
1.448 0.000 0.394 B
4.344 2.901 5.671 B



15.
PBE-GGA LiSc2Tl, relaxed; volume = 22.67 Å³ per atom; calculated density = 5.516 Mg/m³; space-group type = Pmm2 (25); E_form = -0.0602 eV per atom
1.0
-0.284 -0.056 -3.275
3.297 -2.920 -0.235
-4.119 -4.687 0.438
Li Sc Tl
1 2 1
Cartesian
-1.557 -4.973 -1.429 Li
-4.085 -4.648 0.434 Sc
0.417 -2.728 -1.639 Sc
-2.060 -2.344 0.219 Tl



16.
PBE-GGA OsPbCl, relaxed; volume = 19.21 Å³ per atom; formation energy without anion corrections = 0.841 eV per atom; excess energy over the best structure of this formula in the dataset = 149 meV per atom; calculated density = 12.475 Mg/m³; space-group type = P-6m2 (187)
1.0
4.494 0.000 0.000
-2.247 3.892 0.000
0.000 0.000 3.294
Os Cl Pb
1 1 1
Cartesian
2.247 1.297 0.550 Os
0.000 0.000 0.549 Cl
0.000 2.595 2.195 Pb



17.
PBE-GGA KY3Ti, relaxed; volume = 30.08 Å³ per atom; excess energy over the best structure of this formula in the dataset = 926 meV per atom; calculated density = 3.905 Mg/m³; space-group type = Pm-3m (221); E_form = 1.4838 eV per atom
1.0
-2.211 2.656 -4.042
-4.696 -0.114 2.493
1.158 4.606 2.393
K Y Ti
1 3 1
Cartesian
0.000 0.000 0.000 K
-1.105 1.328 -2.021 Y
0.579 2.303 1.196 Y
-2.348 -0.057 1.247 Y
-2.874 3.574 0.422 Ti



18.
PBE-GGA CaTmH, relaxed; volume = 21.97 Å³ per atom; excess energy over the best structure of this formula in the dataset = 123 meV per atom; calculated density = 5.292 Mg/m³; space-group type = P3m1 (156)
1.0
-2.828 0.231 -2.231
1.630 -3.178 0.524
-3.606 -1.115 4.456
H Ca Tm
1 1 1
Cartesian
-2.634 -1.305 0.284 H
-0.274 -0.085 0.338 Ca
-1.896 -2.672 2.127 Tm



19.
PBE-GGA HfIr2S4, relaxed; volume = 20.65 Å³ per atom; formation energy without anion corrections = 0.073 eV per atom; calculated density = 7.939 Mg/m³; space-group type = I4/mmm (139)
1.0
-1.984 2.028 4.072
3.855 -1.610 2.680
3.792 5.216 2.274
S Hf Ir
4 1 2
Cartesian
3.076 2.530 6.288 S
2.588 3.105 2.739 S
-0.992 1.014 2.036 S
1.928 -0.805 1.340 S
0.000 0.000 0.000 Hf
4.140 4.396 5.877 Ir
1.523 1.239 3.149 Ir



20.
PBE-GGA Li3Mn, relaxed; volume = 17.45 Å³ per atom; calculated density = 1.802 Mg/m³; space-group type = P6_3/mmc (194); E_form = 0.3217 eV per atom
1.0
5.827 0.000 0.000
-2.914 5.046 0.000
0.000 0.000 9.497
Li Mn
12 4
Cartesian
1.498 4.229 7.123 Li
-1.498 4.229 7.123 Li
2.914 0.000 0.000 Li
2.914 0.000 4.749 Li
2.914 3.412 2.374 Li
1.415 0.817 2.374 Li
-1.457 2.523 0.000 Li
-1.457 2.523 4.749 Li
1.457 2.523 4.749 Li
0.000 1.634 7.123 Li
1.457 2.523 0.000 Li
4.412 0.817 2.374 Li
0.000 0.000 0.000 Mn
0.000 3.364 2.374 Mn
2.914 1.682 7.123 Mn
0.000 0.000 4.749 Mn